DFT (PBE) results for LiScRu2 after structural relaxation.

Structure (CIF):
```
data_LiScRu2
_chemical_formula_sum 'Li1 Sc1 Ru2'
_space_group_name_H-M_alt 'P 1'
_space_group_IT_number 1
_space_group_name_Hall 'P 1'
_cell_length_a 3.144
_cell_length_b 3.144
_cell_length_c 6.123
_cell_angle_alpha 90.00
_cell_angle_beta 90.00
_cell_angle_gamma 90.00
loop_
_atom_site_label
_atom_site_type_symbol
_atom_site_fract_x
_atom_site_fract_y
_atom_site_fract_z
Li1 Li 0.000 0.000 0.000
Sc1 Sc 0.500 0.500 0.718
Ru1 Ru 0.000 0.000 0.447
Ru2 Ru 0.500 0.500 0.209
```

Output
VASP energy (eV/atom): -6.666
Calculated formation energy (meV/atom): 33.6